{
  "formula": "K2Ag3OsO6",
  "functional": "PBE",
  "state": "optimized geometry",
  "cell": [[6.3965, -0.2794, 1.0143], [-3.4387, 5.4008, 1.0143], [0.0758, 0.1313, 6.6550]],
  "species": ["K", "K", "Ag", "Ag", "Ag", "Os", "O", "O", "O", "O", "O", "O"],
  "frac_coords": [[0.3298, 0.6702, 0.0000], [0.6702, 0.3298, 0.0000], [0.1249, 0.8751, 0.5000], [0.8751, 0.1249, 0.5000], [0.5000, 0.5000, 0.5000], [0.0000, 0.0000, 0.0000], [0.0629, 0.8213, 0.8262], [0.6859, 0.6859, 0.1717], [0.9371, 0.1787, 0.1738], [0.8213, 0.0629, 0.8262], [0.3141, 0.3141, 0.8283], [0.1787, 0.9371, 0.1738]],
  "e_form_raw_ev_per_atom": -0.841,
  "m_tot_mub_per_cell": 0.20,
  "final_energy_ev_per_cell": -61.82
}

---

{
  "formula": "MgIn2Ag",
  "functional": "PBE",
  "state": "optimized geometry",
  "cell": [[4.9530, 0.0000, 0.0000], [0.0000, 4.9530, 0.0000], [0.0000, 0.0000, 3.6725]],
  "species": ["Ag", "In", "In", "Mg"],
  "frac_coords": [[0.0000, 0.5000, 0.5000], [0.0000, 0.0000, 0.0000], [0.5000, 0.5000, 0.0000], [0.5000, 0.0000, 0.5000]],
  "m_tot_mub_per_cell": 0.00,
  "e_form_ev_per_atom": -0.0113,
  "final_energy_ev_per_cell": -9.97
}

---

{
  "formula": "SmDy4Ga5",
  "functional": "PBE",
  "state": "optimized geometry",
  "cell": [[-0.1973, 0.7970, -3.4880], [3.4419, -0.9116, -0.4030], [-4.8935, -16.8916, -3.5831]],
  "species": ["Sm", "Dy", "Dy", "Dy", "Dy", "Ga", "Ga", "Ga", "Ga", "Ga"],
  "frac_coords": [[0.0000, 0.0000, 0.0000], [0.0000, 0.0000, 0.2034], [0.0000, 0.0000, 0.4011], [0.0000, 0.0000, 0.5989], [0.0000, 0.0000, 0.7966], [0.5000, 0.5000, 0.1055], [0.5000, 0.5000, 0.3024], [0.5000, 0.5000, 0.5000], [0.5000, 0.5000, 0.6976], [0.5000, 0.5000, 0.8945]],
  "m_tot_mub_per_cell": 0.00,
  "e_form_ev_per_atom": -0.5819,
  "final_energy_ev_per_cell": -44.08
}

---

{
  "formula": "YCuNiP2",
  "functional": "PBE",
  "state": "optimized geometry",
  "cell": [[3.8491, 0.0000, 0.0000], [0.0000, 3.8491, 0.0000], [-1.9245, -1.9245, 5.0417]],
  "species": ["Y", "Cu", "Ni", "P", "P"],
  "frac_coords": [[0.0000, 0.0000, 0.0000], [0.7500, 0.2500, 0.5000], [0.2500, 0.7500, 0.5000], [0.6219, 0.6219, 0.2438], [0.3781, 0.3781, 0.7562]],
  "m_tot_mub_per_cell": 0.00,
  "e_form_ev_per_atom": -0.8007,
  "final_energy_ev_per_cell": -31.16
}

---

{
  "formula": "CoSBrN2",
  "functional": "PBE",
  "state": "optimized geometry",
  "cell": [[-2.1109, 2.4190, -1.7756], [1.4275, -1.1000, -3.1957], [-5.1271, -4.9137, -0.5988]],
  "species": ["S", "Co", "Br", "N", "N"],
  "frac_coords": [[0.0000, 0.0000, 0.5000], [0.5000, 0.5000, 0.5000], [0.0000, 0.0000, 0.0000], [0.0000, 0.5000, 0.0000], [0.5000, 0.0000, 0.0000]],
  "polymorph_energy_mev_per_atom": 1100,
  "e_form_raw_ev_per_atom": 2.289,
  "m_tot_mub_per_cell": 3.23,
  "final_energy_ev_per_cell": -18.11
}

---

{
  "formula": "Hf4CoRh",
  "functional": "PBE",
  "state": "optimized geometry",
  "cell": [[5.4725, 0.0000, -1.5552], [0.0000, 6.2191, 0.0000], [-0.1949, 0.0000, 6.8351]],
  "species": ["Hf", "Hf", "Hf", "Hf", "Hf", "Hf", "Hf", "Hf", "Co", "Co", "Rh", "Rh"],
  "frac_coords": [[0.5918, 0.2500, 0.4146], [0.4082, 0.7500, 0.5854], [0.5859, 0.2500, 0.8811], [0.4141, 0.7500, 0.1189], [0.9911, 0.9998, 0.2575], [0.0089, 0.4998, 0.7425], [0.9911, 0.5002, 0.2575], [0.0089, 0.0002, 0.7425], [0.2279, 0.2500, 0.5532], [0.7721, 0.7500, 0.4468], [0.2441, 0.2500, 0.0657], [0.7559, 0.7500, 0.9343]],
  "polymorph_energy_mev_per_atom": 0,
  "m_tot_mub_per_cell": 0.00,
  "e_form_ev_per_atom": -0.3985,
  "final_energy_ev_per_cell": -113.32
}

---

{
  "formula": "TmZrGaFe",
  "functional": "PBE",
  "state": "optimized geometry",
  "cell": [[4.7495, 0.0000, 0.0000], [2.3748, 4.1132, 0.0000], [2.3748, 1.3711, 3.8780]],
  "species": ["Tm", "Ga", "Zr", "Fe"],
  "frac_coords": [[0.5000, 0.5000, 0.5000], [0.2500, 0.2500, 0.2500], [0.0000, 0.0000, 0.0000], [0.7500, 0.7500, 0.7500]],
  "m_tot_mub_per_cell": 0.82,
  "e_form_ev_per_atom": -0.2379,
  "final_energy_ev_per_cell": -25.46
}

---

{
  "formula": "GaFeReH",
  "functional": "PBE",
  "state": "optimized geometry",
  "cell": [[4.1015, 0.0000, 0.0064], [0.0000, 4.1220, 0.0000], [-4.0351, 0.0000, 5.4996]],
  "species": ["Ga", "Ga", "Fe", "Fe", "Re", "Re", "H", "H"],
  "frac_coords": [[0.0116, 0.0000, 0.0773], [0.0116, 0.5000, 0.5773], [0.2604, 0.0000, 0.8253], [0.2604, 0.5000, 0.3253], [0.5102, 0.0000, 0.5763], [0.5102, 0.5000, 0.0763], [0.9210, 0.0000, 0.5328], [0.9210, 0.5000, 0.0328]],
  "polymorph_energy_mev_per_atom": 193,
  "m_tot_mub_per_cell": 0.01,
  "final_energy_ev_per_cell": -52.70
}

---

{
  "formula": "BaMn3Cl9",
  "functional": "PBE",
  "state": "optimized geometry",
  "cell": [[9.1298, 0.0000, 3.8418], [4.5698, 9.2733, 1.9093], [0.9431, -0.9506, 10.5279]],
  "species": ["Ba", "Ba", "Mn", "Mn", "Mn", "Mn", "Mn", "Mn", "Cl", "Cl", "Cl", "Cl", "Cl", "Cl", "Cl", "Cl", "Cl", "Cl", "Cl", "Cl", "Cl", "Cl", "Cl", "Cl", "Cl", "Cl"],
  "frac_coords": [[0.0763, 0.4719, 0.9472], [0.5047, 0.9719, 0.4472], [0.8038, 0.5240, 0.6664], [0.0058, 0.0240, 0.1664], [0.9889, 0.9684, 0.8172], [0.2255, 0.4684, 0.3172], [0.6108, 0.2522, 0.7248], [0.4121, 0.7522, 0.2248], [0.3473, 0.2233, 0.2858], [0.1436, 0.7233, 0.7858], [0.4296, 0.4161, 0.9222], [0.2320, 0.9161, 0.4222], [0.1699, 0.0679, 0.7428], [0.0194, 0.5679, 0.2428], [0.6717, 0.7467, 0.1643], [0.4173, 0.2467, 0.6643], [0.8527, 0.9633, 0.3799], [0.8041, 0.4633, 0.8799], [0.5940, 0.7203, 0.6344], [0.0512, 0.2203, 0.1344], [0.4561, 0.5113, 0.2633], [0.7693, 0.0113, 0.7633], [0.8214, 0.3244, 0.5686], [0.2856, 0.8244, 0.0686], [0.8258, 0.0677, 0.0609], [0.0457, 0.5677, 0.5609]],
  "e_form_raw_ev_per_atom": -1.322,
  "m_tot_mub_per_cell": 28.00,
  "final_energy_ev_per_cell": -126.48
}

---

{
  "formula": "Tb4Tm3Sc4",
  "functional": "PBE",
  "state": "optimized geometry",
  "cell": [[-3.3786, -0.2334, 0.6381], [-0.3416, -3.6465, -3.1416], [5.3340, -10.3665, 15.1583]],
  "species": ["Tb", "Tb", "Tb", "Tb", "Tm", "Tm", "Tm", "Sc", "Sc", "Sc", "Sc"],
  "frac_coords": [[0.5469, 0.5471, 0.0940], [0.4531, 0.4530, 0.9060], [0.8162, 0.8162, 0.6319], [0.1838, 0.1838, 0.3681], [0.6369, 0.6369, 0.2741], [0.3630, 0.3632, 0.7259], [0.0000, 0.0000, 0.0000], [0.0924, 0.0925, 0.1852], [0.2714, 0.2714, 0.5425], [0.7285, 0.7286, 0.4575], [0.9076, 0.9075, 0.8148]],
  "polymorph_energy_mev_per_atom": 0,
  "m_tot_mub_per_cell": 0.00,
  "e_form_ev_per_atom": 0.0485,
  "final_energy_ev_per_cell": -56.73
}

---

{
  "formula": "Li2AcDyCd4",
  "functional": "PBE",
  "state": "optimized geometry",
  "cell": [[-3.0235, -2.3774, 3.2068], [-3.2075, -3.4597, -1.6791], [4.4532, -8.5956, 1.7363]],
  "species": ["Li", "Li", "Ac", "Dy", "Cd", "Cd", "Cd", "Cd"],
  "frac_coords": [[0.7622, 0.7622, 0.7133], [0.2378, 0.2378, 0.2867], [0.0000, 0.0000, 0.0000], [0.5000, 0.5000, 0.5000], [0.3935, 0.3935, 0.8196], [0.8774, 0.8774, 0.3678], [0.1226, 0.1226, 0.6322], [0.6065, 0.6065, 0.1804]],
  "m_tot_mub_per_cell": 0.00,
  "e_form_ev_per_atom": -0.2338,
  "final_energy_ev_per_cell": -18.07
}

---

{
  "formula": "Ca2In6NiRh",
  "functional": "PBE",
  "state": "optimized geometry",
  "cell": [[7.1635, -0.0004, 0.0000], [0.0004, 7.1635, 0.0000], [3.5819, 3.5815, 5.0654]],
  "species": ["Ca", "Ca", "In", "In", "In", "In", "In", "In", "Ni", "Rh"],
  "frac_coords": [[0.2500, 0.7500, 0.5000], [0.7500, 0.2500, 0.5000], [0.2442, 0.7558, 0.0000], [0.7558, 0.7558, 0.0000], [0.2442, 0.2442, 0.5115], [0.7558, 0.2442, 0.0000], [0.2442, 0.2442, 0.0000], [0.7558, 0.7558, 0.4885], [0.0000, 0.0000, 0.0000], [0.5000, 0.5000, 0.0000]],
  "m_tot_mub_per_cell": 0.00,
  "e_form_ev_per_atom": -0.2348,
  "final_energy_ev_per_cell": -35.91
}